[1]
## NpVP2 (PBE)

Data for NpVP2 after structural relaxation.

Structure (CIF):
```
data_NpVP2
_space_group_name_H-M_alt 'P n m a'
_space_group_IT_number 62
_cell_length_a 7.0150
_cell_length_b 4.0615
_cell_length_c 9.2271
_cell_angle_alpha 90.00
_cell_angle_beta 90.00
_cell_angle_gamma 90.00
loop_
_space_group_symop_operation_xyz
'x,y,z'
'-x,-y,-z'
'-x+1/2,-y,z+1/2'
'x+1/2,y,-z+1/2'
'x+1/2,-y+1/2,-z+1/2'
'-x+1/2,y+1/2,z+1/2'
'-x,y+1/2,-z'
'x,-y+1/2,z'
loop_
_atom_site_label
_atom_site_type_symbol
_atom_site_fract_x
_atom_site_fract_y
_atom_site_fract_z
Np1 Np 0.1362 0.2500 0.1354
V1 V 0.0372 0.7500 0.4035
P1 P 0.1450 0.2500 0.8023
P2 P 0.2273 0.2500 0.4390
```

Results
For the energy of formation from the pure elements, the calculation gives -674.8 meV/atom. The calculation puts the theoretical density at 8.84 g/cm³. The energy above the most stable polymorph in this dataset is 0.046 eV per atom. The value obtained for the density of states at the Fermi level is 1.93 states/eV per atom. The calculation puts the total energy at -0.6537 Ry per atom.

---

[2]
## NpVP2 (PBE)

Data for NpVP2 after structural relaxation.

Structure (CIF):
```
data_NpVP2
_space_group_name_H-M_alt 'P 4/m m m'
_space_group_IT_number 123
_space_group_name_Hall '-P 4 2'
_cell_length_a 3.0950
_cell_length_b 3.0950
_cell_length_c 6.5741
_cell_angle_alpha 90.00
_cell_angle_beta 90.00
_cell_angle_gamma 90.00
loop_
_atom_site_label
_atom_site_type_symbol
_atom_site_fract_x
_atom_site_fract_y
_atom_site_fract_z
Np1 Np 0.0000 0.0000 0.0000
V1 V 0.0000 0.0000 0.5000
P1 P 0.5000 0.5000 0.2989
```

Results
For the energy of formation from the pure elements, the calculation gives -457.2 meV/atom. The calculation puts the theoretical density at 9.23 g/cm³. The energy above the most stable polymorph in this dataset is 0.263 eV per atom. The value obtained for the density of states at the Fermi level is 1.52 states/eV per atom. The calculation puts the total energy at -0.6377 Ry per atom.

---

[3]
## NpV2P (PBE)

Data for NpV2P after structural relaxation.

Structure (CIF):
```
data_NpV2P
_space_group_name_H-M_alt 'F m -3 m'
_space_group_IT_number 225
_space_group_name_Hall '-F 4 2 3'
_cell_length_a 6.1611
_cell_length_b 6.1611
_cell_length_c 6.1611
_cell_angle_alpha 90.00
_cell_angle_beta 90.00
_cell_angle_gamma 90.00
loop_
_atom_site_label
_atom_site_type_symbol
_atom_site_fract_x
_atom_site_fract_y
_atom_site_fract_z
Np1 Np 0.0000 0.0000 0.0000
V1 V 0.2500 0.2500 0.2500
P1 P 0.0000 0.0000 0.5000
```

Results
For the energy of formation from the pure elements, the calculation gives -27.4 meV/atom. The calculation puts the theoretical density at 10.50 g/cm³. The energy above the most stable polymorph in this dataset is 0.134 eV per atom. The value obtained for the density of states at the Fermi level is 2.47 states/eV per atom. The calculation puts the total energy at -0.6743 Ry per atom.

---

[4]
## NpVP2 (PBE)

Data for NpVP2 after structural relaxation.

Structure (CIF):
```
data_NpVP2
_space_group_name_H-M_alt 'R 3 m'
_space_group_IT_number 160
_space_group_name_Hall 'R 3 -2"'
_cell_length_a 3.5371
_cell_length_b 3.5371
_cell_length_c 19.3344
_cell_angle_alpha 90.00
_cell_angle_beta 90.00
_cell_angle_gamma 120.00
loop_
_atom_site_label
_atom_site_type_symbol
_atom_site_fract_x
_atom_site_fract_y
_atom_site_fract_z
Np1 Np 0.0000 0.0000 0.0000
V1 V 0.0000 0.0000 0.1752
P1 P 0.0000 0.0000 0.4363
P2 P 0.0000 0.0000 0.5727
```

Results
For the energy of formation from the pure elements, the calculation gives -672.3 meV/atom. The calculation puts the theoretical density at 8.32 g/cm³. The energy above the most stable polymorph in this dataset is 0.048 eV per atom. The value obtained for the density of states at the Fermi level is 1.25 states/eV per atom. The calculation puts the total energy at -0.6536 Ry per atom.

---

[5]
## NpV2P (PBE)

Data for NpV2P after structural relaxation.

Structure (CIF):
```
data_NpV2P
_space_group_name_H-M_alt 'P 4/m m m'
_space_group_IT_number 123
_space_group_name_Hall '-P 4 2'
_cell_length_a 4.0971
_cell_length_b 4.0971
_cell_length_c 3.4378
_cell_angle_alpha 90.00
_cell_angle_beta 90.00
_cell_angle_gamma 90.00
loop_
_atom_site_label
_atom_site_type_symbol
_atom_site_fract_x
_atom_site_fract_y
_atom_site_fract_z
Np1 Np 0.0000 0.0000 0.0000
V1 V 0.0000 0.5000 0.5000
P1 P 0.5000 0.5000 0.0000
```

Results
For the energy of formation from the pure elements, the calculation gives -161.5 meV/atom. The calculation puts the theoretical density at 10.64 g/cm³. The energy above the most stable polymorph in this dataset is 0.000 eV per atom. The value obtained for the density of states at the Fermi level is 1.71 states/eV per atom. The calculation puts the total energy at -0.6842 Ry per atom.

---

[6]
## YNpP2 (PBE)

Data for YNpP2 after structural relaxation.

Structure (CIF):
```
data_YNpP2
_space_group_name_H-M_alt 'R 3 m'
_space_group_IT_number 160
_space_group_name_Hall 'R 3 -2"'
_cell_length_a 3.8691
_cell_length_b 3.8691
_cell_length_c 21.0055
_cell_angle_alpha 90.00
_cell_angle_beta 90.00
_cell_angle_gamma 120.00
loop_
_atom_site_label
_atom_site_type_symbol
_atom_site_fract_x
_atom_site_fract_y
_atom_site_fract_z
Y1 Y 0.0000 0.0000 0.0000
Np1 Np 0.0000 0.0000 0.8284
P1 P 0.0000 0.0000 0.4134
P2 P 0.0000 0.0000 0.5808
```

Results
For the energy of formation from the pure elements, the calculation gives -1076.6 meV/atom. The calculation puts the theoretical density at 7.09 g/cm³. The energy above the most stable polymorph in this dataset is 0.170 eV per atom. The value obtained for the density of states at the Fermi level is 1.57 states/eV per atom. The calculation puts the total energy at -0.6345 Ry per atom.

---

[7]
## YNp4P5 (PBE)

Data for YNp4P5 after structural relaxation.

Structure (CIF):
```
data_YNp4P5
_space_group_name_H-M_alt 'I m m m'
_space_group_IT_number 71
_space_group_name_Hall '-I 2 2'
_cell_length_a 3.9412
_cell_length_b 5.5923
_cell_length_c 19.9029
_cell_angle_alpha 90.00
_cell_angle_beta 90.00
_cell_angle_gamma 90.00
loop_
_atom_site_label
_atom_site_type_symbol
_atom_site_fract_x
_atom_site_fract_y
_atom_site_fract_z
Y1 Y 0.0000 0.0000 0.0000
Np1 Np 0.0000 0.0000 0.2013
Np2 Np 0.0000 0.0000 0.4012
P1 P 0.0000 0.5000 0.0000
P2 P 0.0000 0.5000 0.1989
P3 P 0.0000 0.5000 0.3974
```

Results
For the energy of formation from the pure elements, the calculation gives -993.0 meV/atom. The calculation puts the theoretical density at 9.02 g/cm³. The value obtained for the density of states at the Fermi level is 3.24 states/eV per atom. The calculation puts the total energy at -0.6998 Ry per atom.

---

[8]
## Y4NpP5 (PBE)

Data for Y4NpP5 after structural relaxation.

Structure (CIF):
```
data_Y4NpP5
_space_group_name_H-M_alt 'I m m m'
_space_group_IT_number 71
_space_group_name_Hall '-I 2 2'
_cell_length_a 3.9989
_cell_length_b 5.6482
_cell_length_c 20.0292
_cell_angle_alpha 90.00
_cell_angle_beta 90.00
_cell_angle_gamma 90.00
loop_
_atom_site_label
_atom_site_type_symbol
_atom_site_fract_x
_atom_site_fract_y
_atom_site_fract_z
Y1 Y 0.0000 0.0000 0.1011
Y2 Y 0.0000 0.0000 0.2991
Np1 Np 0.0000 0.0000 0.5000
P1 P 0.0000 0.5000 0.0971
P2 P 0.0000 0.5000 0.2994
P3 P 0.0000 0.5000 0.5000
```

Results
For the energy of formation from the pure elements, the calculation gives -1473.5 meV/atom. The calculation puts the theoretical density at 5.49 g/cm³. The value obtained for the density of states at the Fermi level is 0.99 states/eV per atom. The calculation puts the total energy at -0.5923 Ry per atom.

---

[9]
## YNpP (PBE)

Data for YNpP after structural relaxation.

Structure (CIF):
```
data_YNpP
_space_group_name_H-M_alt 'P 1 21/m 1'
_space_group_IT_number 11
_cell_length_a 5.2572
_cell_length_b 3.6929
_cell_length_c 7.1572
_cell_angle_alpha 90.00
_cell_angle_beta 99.08
_cell_angle_gamma 90.00
loop_
_space_group_symop_operation_xyz
'x,y,z'
'-x,-y,-z'
'-x,y+1/2,-z'
'x,-y+1/2,z'
loop_
_atom_site_label
_atom_site_type_symbol
_atom_site_fract_x
_atom_site_fract_y
_atom_site_fract_z
Y1 Y 0.2404 0.2500 0.4382
Np1 Np 0.1193 0.2500 0.9419
P1 P 0.4115 0.7500 0.1985
```

Results
For the energy of formation from the pure elements, the calculation gives -464.6 meV/atom. The calculation puts the theoretical density at 8.64 g/cm³. The value obtained for the density of states at the Fermi level is 1.93 states/eV per atom. The calculation puts the total energy at -0.6421 Ry per atom.

---

[10]
## YNp3P4 (PBE)

Data for YNp3P4 after structural relaxation.

Structure (CIF):
```
data_YNp3P4
_space_group_name_H-M_alt 'C m m m'
_space_group_IT_number 65
_space_group_name_Hall '-C 2 2'
_cell_length_a 7.9386
_cell_length_b 11.2094
_cell_length_c 3.9559
_cell_angle_alpha 90.00
_cell_angle_beta 90.00
_cell_angle_gamma 90.00
loop_
_atom_site_label
_atom_site_type_symbol
_atom_site_fract_x
_atom_site_fract_y
_atom_site_fract_z
Y1 Y 0.0000 0.0000 0.0000
Np1 Np 0.0000 0.5000 0.0000
Np2 Np 0.2500 0.2500 0.5000
P1 P 0.0000 0.2513 0.0000
P2 P 0.2458 0.5000 0.5000
```

Results
For the energy of formation from the pure elements, the calculation gives -1029.8 meV/atom. The calculation puts the theoretical density at 8.72 g/cm³. The value obtained for the density of states at the Fermi level is 3.15 states/eV per atom. The calculation puts the total energy at -0.6906 Ry per atom.

---

[11]
## YNpP2 (PBE)

Data for YNpP2 after structural relaxation.

Structure (CIF):
```
data_YNpP2
_space_group_name_H-M_alt 'R -3 m'
_space_group_IT_number 166
_space_group_name_Hall '-R 3 2"'
_cell_length_a 3.9810
_cell_length_b 3.9810
_cell_length_c 19.5105
_cell_angle_alpha 90.00
_cell_angle_beta 90.00
_cell_angle_gamma 120.00
loop_
_atom_site_label
_atom_site_type_symbol
_atom_site_fract_x
_atom_site_fract_y
_atom_site_fract_z
Y1 Y 0.0000 0.0000 0.0000
Np1 Np 0.0000 0.0000 0.5000
P1 P 0.0000 0.0000 0.2476
```

Results
For the energy of formation from the pure elements, the calculation gives -1246.5 meV/atom. The calculation puts the theoretical density at 7.22 g/cm³. The energy above the most stable polymorph in this dataset is 0.000 eV per atom. The value obtained for the density of states at the Fermi level is 2.14 states/eV per atom. The calculation puts the total energy at -0.6470 Ry per atom.

---

[12]
## Y2ZrNpP4 (PBE)

Data for Y2ZrNpP4 after structural relaxation.

Structure (CIF):
```
data_Y2ZrNpP4
_space_group_name_H-M_alt 'P 1 2/m 1'
_space_group_IT_number 10
_cell_length_a 6.7756
_cell_length_b 3.9213
_cell_length_c 6.8010
_cell_angle_alpha 90.00
_cell_angle_beta 109.23
_cell_angle_gamma 90.00
loop_
_space_group_symop_operation_xyz
'x,y,z'
'-x,-y,-z'
'-x,y,-z'
'x,-y,z'
loop_
_atom_site_label
_atom_site_type_symbol
_atom_site_fract_x
_atom_site_fract_y
_atom_site_fract_z
Y1 Y 0.0000 0.0000 0.0000
Y2 Y 0.5000 0.5000 0.0000
Zr1 Zr 0.0000 0.5000 0.5000
Np1 Np 0.5000 0.0000 0.5000
P1 P 0.2415 0.0000 0.7367
P2 P 0.2482 0.5000 0.2601
```

Results
For the energy of formation from the pure elements, the calculation gives -1372.5 meV/atom. The calculation puts the theoretical density at 6.13 g/cm³. The value obtained for the density of states at the Fermi level is 1.18 states/eV per atom. The calculation puts the total energy at -0.6159 Ry per atom.